# Al2AgBi2

Crystalline Al2AgBi2 at its relaxed geometry (PBE-GGA, the Alexandria database).

Summary:
calculated density	7.38	g/cm3
space group	P4/mbm
energy above the lowest structure with this stoichiometry	121	meV/atom
calculated total energy	-3.31	eV/atom
DOS at the Fermi energy	0.487	states/eV/atom

abc: 8.052 8.052 4.027
angles: 90.00 90.00 90.00
Fractional positions:
Bi (0.323, 0.823, 0.000)
Bi (0.823, 0.677, 0.000)
Bi (0.677, 0.177, 0.000)
Bi (0.177, 0.323, 0.000)
Ag (0.000, 0.000, 0.000)
Ag (0.500, 0.500, 0.000)
Al (0.121, 0.621, 0.500)
Al (0.621, 0.879, 0.500)
Al (0.879, 0.379, 0.500)
Al (0.379, 0.121, 0.500)